This record from Alexandria describes a relaxed In2ReW crystal. The functional is PBE-GGA.

- polymorph energy (0 for the lowest one) (eV per atom) = 1.056
- V (Å³ per cell) = 160
- total energy (eV per atom) = -6.401
- E_form (eV/atom) = 1.319

The structure in POSCAR format:
```
In2ReW
1.0
-3.800 3.800 2.777
3.800 -3.800 2.777
3.800 3.800 -2.777
In Re W
4 2 2
direct
0.117 0.125 0.492 In
0.375 0.883 0.008 In
0.633 0.625 0.508 In
0.875 0.367 0.992 In
0.000 0.000 0.000 Re
0.750 0.250 0.500 Re
0.250 0.750 0.500 W
0.500 0.500 0.000 W
```

=====

This record from Alexandria describes a relaxed Li2LaPmAu4 crystal. The functional is PBE-GGA.

- V (Å³ per cell) = 177
- total energy (eV per atom) = -4.044
- E_form (eV/atom) = -0.717

The structure in POSCAR format:
```
Li2LaPmAu4
1.0
2.304 1.330 9.610
-2.304 1.330 9.610
0.000 -2.661 9.610
Li La Pm Au
2 1 1 4
direct
0.247 0.247 0.247 Li
0.753 0.753 0.753 Li
0.000 0.000 0.000 La
0.500 0.500 0.500 Pm
0.111 0.111 0.111 Au
0.393 0.393 0.393 Au
0.607 0.607 0.607 Au
0.889 0.889 0.889 Au
```

=====

This record from Alexandria describes a relaxed La4TlHg2Au crystal. The functional is PBE-GGA.

- V (Å³ per cell) = 236
- total energy (eV per atom) = -3.794
- E_form (eV/atom) = -0.549

The structure in POSCAR format:
```
La4TlHg2Au
1.0
2.757 1.592 8.960
-2.757 1.592 8.960
0.000 -3.183 8.960
La Tl Hg Au
4 1 2 1
direct
0.118 0.118 0.118 La
0.368 0.368 0.368 La
0.632 0.632 0.632 La
0.882 0.882 0.882 La
0.500 0.500 0.500 Tl
0.243 0.243 0.243 Hg
0.757 0.757 0.757 Hg
0.000 0.000 0.000 Au
```

=====

This record from Alexandria describes a relaxed Os3Se crystal. The functional is PBE-GGA.

- polymorph energy (0 for the lowest one) (eV per atom) = 0.091
- V (Å³ per cell) = 173
- total energy (eV per atom) = -8.670
- ΔE_f (raw) (eV per atom) = 0.624

The structure in POSCAR format:
```
Os3Se
1.0
3.977 0.000 0.000
0.000 5.650 0.000
0.000 0.000 7.697
Os Se
6 2
direct
0.250 0.030 0.102 Os
0.250 0.250 0.810 Os
0.250 0.470 0.102 Os
0.750 0.530 0.898 Os
0.750 0.750 0.190 Os
0.750 0.970 0.898 Os
0.250 0.750 0.387 Se
0.750 0.250 0.613 Se
```

=====

This record from Alexandria describes a relaxed Pu3Fe2Ge4 crystal. The functional is PBE-GGA.

- V (Å³ per cell) = 174
- total energy (eV per atom) = -9.050
- E_form (eV/atom) = -0.340

The structure in POSCAR format:
```
Pu3Fe2Ge4
1.0
5.268 -2.155 0.000
5.268 2.155 0.000
-2.521 0.000 7.679
Pu Fe Ge
3 2 4
direct
0.000 0.000 0.000 Pu
0.332 0.332 0.345 Pu
0.668 0.668 0.655 Pu
0.407 0.407 0.730 Fe
0.593 0.593 0.270 Fe
0.054 0.054 0.381 Ge
0.286 0.286 0.940 Ge
0.714 0.714 0.060 Ge
0.946 0.946 0.619 Ge
```

=====

This record from Alexandria describes a relaxed PmZn5Rh2 crystal. The functional is PBE-GGA.

- V (Å³ per cell) = 141
- total energy (eV per atom) = -3.602
- E_form (eV/atom) = -0.375

The structure in POSCAR format:
```
PmZn5Rh2
1.0
-1.968 3.792 4.725
1.968 -3.792 4.725
1.968 3.792 -4.725
Pm Zn Rh
1 5 2
direct
0.000 0.000 0.000 Pm
0.164 0.347 0.817 Zn
0.470 0.653 0.817 Zn
0.500 0.000 0.500 Zn
0.530 0.347 0.183 Zn
0.836 0.653 0.183 Zn
0.236 0.736 0.500 Rh
0.764 0.264 0.500 Rh
```

=====

This record from Alexandria describes a relaxed PrSmP2 crystal. The functional is PBE-GGA.

- polymorph energy (0 for the lowest one) (eV per atom) = 0.173
- V (Å³ per cell) = 104
- total energy (eV per atom) = -6.449
- E_form (eV/atom) = -1.369

The structure in POSCAR format:
```
PrSmP2
1.0
2.055 1.187 7.080
-2.055 1.187 7.080
0.000 -2.373 7.080
Pr Sm P
1 1 2
direct
0.000 0.000 0.000 Pr
0.172 0.172 0.172 Sm
0.420 0.420 0.420 P
0.585 0.585 0.585 P
```

=====

This record from Alexandria describes a relaxed Sm2ZrAl crystal. The functional is PBE-GGA.

- polymorph energy (0 for the lowest one) (eV per atom) = 0.148
- V (Å³ per cell) = 106
- total energy (eV per atom) = -5.405
- E_form (eV/atom) = 0.027

The structure in POSCAR format:
```
Sm2ZrAl
1.0
0.000 3.759 3.759
3.759 0.000 3.759
3.759 3.759 0.000
Sm Zr Al
2 1 1
direct
0.250 0.250 0.250 Sm
0.750 0.750 0.750 Sm
0.000 0.000 0.000 Zr
0.500 0.500 0.500 Al
```

=====

Which of these has the lowest V? PrSmP2

=====

Among the records above, which one has the lowest total energy? Pu3Fe2Ge4